Entry from Alexandria via LeMat-Bulk: a relaxed structure of TeHPd6Pb2 (PBE-GGA).

Geometry as extended XYZ:
```
10
Lattice="7.332 -0.490 -1.660 -0.441 7.491 -0.374 -4.582 -3.766 4.582" Properties=species:S:1:pos:R:3 pbc="T T T"
Pb 2.524 -0.049 0.187
Pb -0.185 3.626 2.227
Pd 2.342 2.597 1.285
Pd 0.978 4.708 -0.165
Pd 5.627 5.271 -0.756
Pd -0.095 0.977 1.161
Pd 3.900 -2.210 1.613
Pd 1.295 -1.168 2.631
H -0.226 6.062 -0.005
Te -1.171 -0.100 3.531
```

Output
**Uncorrected energy**: -0.175 Ha/atom
**Volume**: 17.97 A^3/atom

=====

Entry from Alexandria via LeMat-Bulk: a relaxed structure of LaTeSe2N (PBE-GGA).

Geometry as extended XYZ:
```
5
Lattice="-0.932 -5.049 -1.860 -1.106 -1.668 5.081 -3.924 0.927 -0.550" Properties=species:S:1:pos:R:3 pbc="T T T"
Te 0.000 0.000 0.000
N -1.962 0.463 -0.275
Se -0.553 -0.834 2.541
Se -0.466 -2.525 -0.930
La -2.981 -2.895 1.336
```

Output
**Formation energy without anion corrections**: -0.172 eV/atom
**Uncorrected energy**: -0.178 Ha/atom
**Volume**: 24.27 A^3/atom